The following is a DFT calculation (PBE) of a relaxed NdHfAg2 crystal.

Output
electronic total energy: -5.152 eV per atom
D(E_F): 0.9454 states/eV per atom
formation enthalpy at 0 K: -46.0 meV per atom

Unit cell a=3.4645 b=3.4645 c=7.6188 alpha=90.00 beta=90.00 gamma=90.00
Site moments in Bohr magnetons follow the coordinates.
Fractional positions:
Hf (0.5000, 0.5000, 0.0000)  0.30
Nd (0.5000, 0.5000, 0.5000)  0.20
Ag (0.0000, 0.0000, 0.2109)  0.03
Ag (0.0000, 0.0000, 0.7891)  0.03

The following is a DFT calculation (PBE) of a relaxed CeSc5Ru4 crystal.

Output
electronic total energy: -7.916 eV per atom
D(E_F): 1.3492 states/eV per atom
formation enthalpy at 0 K: -446.5 meV per atom

Unit cell a=3.2219 b=3.2219 c=18.2767 alpha=90.00 beta=90.00 gamma=90.00
Site moments in Bohr magnetons follow the coordinates.
Fractional positions:
Ru (0.0000, 0.0000, 0.4115)  0.02
Ru (0.0000, 0.0000, 0.5885)  0.02
Ru (0.0000, 0.0000, 0.7675)  0.02
Ru (0.0000, 0.0000, 0.2325)  0.02
Sc (0.5000, 0.5000, 0.5000)  0.02
Sc (0.5000, 0.5000, 0.6744)  0.02
Sc (0.5000, 0.5000, 0.3256)  0.02
Sc (0.5000, 0.5000, 0.1529)  0.05
Sc (0.5000, 0.5000, 0.8471)  0.05
Ce (0.0000, 0.0000, 0.0000)  0.99

Question: What is the formation enthalpy at 0 K in the second record?
Answer: -446.5 meV per atom

Question: electronic total energy of number 2 (CeSc5Ru4)?
Answer: -7.916 eV per atom

Question: The highest D(E_F) belongs to which entry?
Answer: CeSc5Ru4